## Li21Co8O18 (PBE+U)

Data for a relaxed Li21Co8O18 crystal.

Geometry as POSCAR:
```
Li21Co8O18
1.0
7.711 0.020 0.005
3.849 6.794 0.054
2.117 1.718 9.451
Co Li O
8 21 18
Cartesian
7.105 5.127 8.309 Co
5.931 0.567 1.386 Co
3.863 3.020 5.919 Co
7.564 8.074 8.176 Co
4.151 5.559 5.885 Co
10.131 5.729 3.490 Co
6.692 3.525 1.258 Co
9.573 2.829 3.551 Co
9.464 7.394 5.958 Li
6.446 3.583 5.797 Li
8.480 1.901 6.016 Li
9.449 4.420 0.875 Li
7.308 4.915 3.759 Li
4.900 3.812 3.518 Li
7.008 6.507 1.311 Li
4.317 1.179 3.598 Li
6.770 1.959 3.671 Li
4.068 4.213 8.583 Li
9.472 3.442 8.102 Li
7.112 6.581 5.722 Li
1.106 1.360 1.306 Li
6.127 2.620 8.666 Li
5.154 6.634 7.836 Li
5.392 6.522 3.327 Li
4.249 5.128 1.366 Li
10.013 6.018 7.985 Li
3.612 2.597 1.512 Li
8.892 4.633 5.861 Li
7.894 1.627 8.078 Li
2.009 1.539 7.479 O
7.492 3.454 7.520 O
8.100 3.050 0.202 O
8.673 6.180 4.492 O
11.220 7.126 6.772 O
2.994 4.113 2.656 O
6.079 5.020 2.162 O
8.082 3.172 4.553 O
5.464 2.238 2.118 O
5.203 2.279 4.964 O
5.547 5.467 9.293 O
5.753 5.437 4.987 O
8.823 6.283 0.348 O
10.604 4.368 6.812 O
8.201 6.420 7.352 O
4.411 2.461 9.312 O
2.585 1.312 2.709 O
11.326 6.950 2.506 O
```

Values from the calculation:
* electronic total energy: -5.10 eV per atom
* space group: P1 (1)